This record from the Alexandria database describes crystalline Co15O28 at its relaxed geometry. The functional is PBE+U.

Results
**Space-group type**: P-1
**VASP energy**: -246.372 eV/cell
**Crystal system**: triclinic
**Density**: 4.666 g/cm³
**Spin magnetization**: 14.937 μB/cell

Unit cell a=7.504 b=8.329 c=8.609 alpha=105.82 beta=105.30 gamma=102.69
Sites, in units of the cell vectors:
1 Co 0.000 0.000 0.000
2 Co 0.000 0.500 0.000
3 Co 0.080 0.221 0.785
4 Co 0.140 0.927 0.572
5 Co 0.213 0.642 0.356
6 Co 0.292 0.362 0.141
7 Co 0.363 0.075 0.927
8 Co 0.429 0.789 0.715
9 Co 0.500 0.500 0.500
10 Co 0.571 0.211 0.285
11 Co 0.637 0.925 0.073
12 Co 0.708 0.638 0.859
13 Co 0.787 0.358 0.644
14 Co 0.860 0.073 0.428
15 Co 0.920 0.779 0.215
16 O 0.025 0.271 0.994
17 O 0.051 0.441 0.793
18 O 0.090 0.997 0.788
19 O 0.123 0.151 0.576
20 O 0.167 0.706 0.567
21 O 0.185 0.863 0.362
22 O 0.239 0.420 0.350
23 O 0.261 0.582 0.146
24 O 0.296 0.133 0.133
25 O 0.337 0.300 0.933
26 O 0.381 0.849 0.920
27 O 0.402 0.007 0.715
28 O 0.452 0.564 0.709
29 O 0.474 0.721 0.502
30 O 0.526 0.279 0.498
31 O 0.548 0.436 0.291
32 O 0.598 0.993 0.285
33 O 0.619 0.151 0.080
34 O 0.663 0.700 0.067
35 O 0.704 0.867 0.867
36 O 0.739 0.418 0.854
37 O 0.761 0.580 0.650
38 O 0.815 0.137 0.638
39 O 0.833 0.294 0.433
40 O 0.877 0.849 0.424
41 O 0.910 0.003 0.212
42 O 0.949 0.559 0.207
43 O 0.975 0.729 0.006